Below is a relaxed KH3Rh crystal, with properties calculated at the PBE-GGA level.

Cell and atoms, written as POSCAR:
```
KH3Rh
1.0
-1.751 1.751 10.436
1.751 -1.751 10.436
1.751 1.751 -10.436
K H Rh
2 6 2
Cartesian
0.000 0.000 0.000
0.000 1.751 5.218
0.000 0.514 2.678
0.000 0.000 7.427
0.000 0.000 13.444
-1.238 1.751 7.757
1.238 1.751 7.757
0.000 2.989 2.678
1.751 0.000 2.743
1.751 0.000 7.692
```

Properties
D(E_F): 1.556 states/eV per cell
Space-group type: No. 119
Final energy: -18.1 eV/f.u.
Distance to the lowest polymorph of the same formula: 0.311 eV/atom